Entry 1:
Compound: Tb9Sm11Th4
Source: the Alexandria database
Functional: PBE-GGA
Structure: relaxed

```
24
Lattice="8.5116 -12.7996 0.0000 8.5116 12.7996 0.0000 0.0000 0.0000 3.7095" Properties=species:S:1:pos:R:3 pbc="T T T"
Tb 0.0000 0.0000 0.0000
Tb 6.7880 6.7502 0.0000
Tb 6.1377 1.8602 0.0000
Tb 10.2353 6.7502 0.0000
Tb 6.1377 -1.8602 0.0000
Tb 10.8855 1.8602 0.0000
Tb 6.7880 -6.7502 0.0000
Tb 10.8855 -1.8602 0.0000
Tb 10.2353 -6.7502 0.0000
Sm 4.6374 4.6471 1.8548
Sm 8.5116 9.3928 1.8548
Sm 3.5379 0.0000 1.8548
Sm 8.5116 4.0324 1.8548
Sm 4.6374 -4.6471 1.8548
Sm 8.5116 0.0000 1.8548
Sm 12.3859 4.6471 1.8548
Sm 8.5116 -4.0324 1.8548
Sm 13.4854 0.0000 1.8548
Sm 8.5116 -9.3928 1.8548
Sm 12.3859 -4.6471 1.8548
Th 2.6651 2.6149 0.0000
Th 2.6651 -2.6149 0.0000
Th 14.3582 2.6149 0.0000
Th 14.3582 -2.6149 0.0000
```

Computed properties:
M_tot   0.000 μB/cell
Calculated formation energy   0.112 eV/atom
Space-group type   No. 65
E   -5.024 eV/atom



Entry 2:
Compound: ZnSn3Rh
Source: the Alexandria database
Functional: PBE-GGA
Structure: relaxed

```
5
Lattice="5.1405 0.0000 0.0000 0.0000 5.1405 0.0000 0.0000 0.0000 5.1405" Properties=species:S:1:pos:R:3 pbc="T T T"
Zn 0.0000 0.0000 0.0000
Sn 0.0000 2.5702 2.5702
Sn 2.5702 0.0000 2.5702
Sn 2.5702 2.5702 0.0000
Rh 2.5702 2.5702 2.5702
```

Computed properties:
M_tot   0.000 μB/cell
Calculated formation energy   0.119 eV/atom
ΔE to the lowest computed polymorph   0 meV per atom
Space-group type   No. 221
E   -4.008 eV/atom



Entry 3:
Compound: Ca3Os
Source: the Alexandria database
Functional: PBE-GGA
Structure: relaxed

```
12
Lattice="10.3834 0.0000 0.0000 -5.1917 8.9923 0.0000 0.0000 0.0000 3.2973" Properties=species:S:1:pos:R:3 pbc="T T T"
Ca -2.5958 4.4961 0.0000
Ca 0.0000 2.9974 1.0991
Ca -2.5958 7.4936 1.0991
Ca 2.5958 1.4987 2.1982
Ca 5.1917 0.0000 0.0000
Ca 2.5958 4.4961 0.0000
Ca 2.5958 7.4936 1.0991
Ca 7.7875 1.4987 2.1982
Ca 5.1917 5.9948 2.1982
Os 0.0000 0.0000 0.0000
Os 0.0000 5.9948 2.1982
Os 5.1917 2.9974 1.0991
```

Computed properties:
M_tot   0.000 μB/cell
Calculated formation energy   0.688 eV/atom
Space-group type   No. 166
E   -3.620 eV/atom



Entry 4:
Compound: Th6SiRu2Se3
Source: the Alexandria database
Functional: PBE-GGA
Structure: relaxed

```
12
Lattice="3.6116 -6.2526 0.0000 3.6116 6.2526 0.0000 -2.4005 0.0000 7.1577" Properties=species:S:1:pos:R:3 pbc="T T T"
Th -0.0456 2.1634 5.5577
Th 1.1056 0.0000 1.5879
Th -0.0456 -2.1634 5.5577
Th 4.8683 2.1634 1.6001
Th 3.7172 0.0000 5.5698
Th 4.8683 -2.1634 1.6001
Si 3.6116 0.0000 0.0000
Ru 3.6116 4.1525 0.0000
Ru 3.6116 -4.1525 0.0000
Se -1.2003 0.0000 3.5789
Se 2.4114 1.9970 3.5789
Se 2.4114 -1.9970 3.5789
```

Computed properties:
M_tot   0.000 μB/cell
E_form (uncorrected)   -1067 meV per atom
Space-group type   No. 12
E   -7.646 eV/atom



Entry 5:
Compound: NiHg2Br
Source: the Alexandria database
Functional: PBE-GGA
Structure: relaxed

```
8
Lattice="4.5844 0.0000 0.0000 0.0000 4.5844 0.0000 0.0000 0.0000 8.4130" Properties=species:S:1:pos:R:3 pbc="T T T"
Ni 0.0000 0.0000 0.0000
Ni 2.2922 2.2922 4.2065
Hg 0.0000 0.0000 4.2065
Hg 0.0000 2.2922 2.1032
Hg 2.2922 0.0000 6.3097
Hg 2.2922 2.2922 0.0000
Br 0.0000 2.2922 6.3097
Br 2.2922 0.0000 2.1032
```

Computed properties:
M_tot   1.580 μB/cell
ΔE to the lowest computed polymorph   424 meV per atom
E_form (uncorrected)   471 meV per atom
Space-group type   No. 119
E   -1.543 eV/atom



Entry 6:
Compound: SrGaGe2O6
Source: the Alexandria database
Functional: PBE-GGA
Structure: relaxed

```
20
Lattice="5.5633 -4.6506 0.0000 5.5633 4.6506 0.0000 -3.3657 0.0000 5.7540" Properties=species:S:1:pos:R:3 pbc="T T T"
Sr 3.0390 3.0492 4.3155
Sr 4.7219 -3.0492 1.4385
Ga 4.7219 2.7715 1.4385
Ga 3.0390 -2.7715 4.3155
Ge 0.5064 0.5153 4.8102
Ge 2.1893 -0.5153 1.9332
Ge 5.5716 0.5153 3.8208
Ge 7.2545 -0.5153 0.9438
O -1.0592 0.7636 3.9277
O 1.0845 2.0602 5.5212
O 0.6237 -0.7636 1.0507
O 1.7357 0.5891 3.3286
O 4.9935 2.0602 3.1098
O 3.4186 -0.5891 0.4516
O 4.3423 0.5891 5.3024
O 2.7673 -2.0602 2.6442
O 6.0252 -0.5891 2.4254
O 7.1372 0.7636 4.7033
O 6.6764 -2.0602 0.2328
O 8.8201 -0.7636 1.8263
```

Computed properties:
M_tot   0.000 μB/cell
E_form (uncorrected)   -1872 meV per atom
Space-group type   No. 15
E   -6.241 eV/atom



Entry 7:
Compound: NdBiI
Source: the Alexandria database
Functional: PBE-GGA
Structure: relaxed

```
6
Lattice="3.7577 0.0000 0.0000 0.0000 3.7577 0.0000 0.0000 0.0000 15.7663" Properties=species:S:1:pos:R:3 pbc="T T T"
Nd 0.0000 0.0000 0.0000
Nd 1.8789 1.8789 7.8831
Bi 0.0000 0.0000 5.6906
Bi 1.8789 1.8789 13.5737
I 0.0000 0.0000 9.9135
I 1.8789 1.8789 2.0304
```

Computed properties:
M_tot   0.000 μB/cell
ΔE to the lowest computed polymorph   2 meV per atom
E_form (uncorrected)   -770 meV per atom
Space-group type   No. 107
E   -4.170 eV/atom



Entry 8:
Compound: PuNiBiAu
Source: the Alexandria database
Functional: PBE-GGA
Structure: relaxed

```
16
Lattice="7.0089 0.0000 0.0000 0.0000 7.0089 0.0000 0.0000 0.0000 7.0089" Properties=species:S:1:pos:R:3 pbc="T T T"
Pu 0.0000 0.0000 0.0000
Pu 0.0000 3.5044 3.5044
Pu 3.5044 0.0000 3.5044
Pu 3.5044 3.5044 0.0000
Ni 1.7522 1.7522 5.2567
Ni 1.7522 5.2567 1.7522
Ni 5.2567 1.7522 1.7522
Ni 5.2567 5.2567 5.2567
Bi 0.0000 0.0000 3.5044
Bi 0.0000 3.5044 0.0000
Bi 3.5044 0.0000 0.0000
Bi 3.5044 3.5044 3.5044
Au 1.7522 1.7522 1.7522
Au 1.7522 5.2567 5.2567
Au 5.2567 1.7522 5.2567
Au 5.2567 5.2567 1.7522
```

Computed properties:
M_tot   21.069 μB/cell
Calculated formation energy   -0.107 eV/atom
Space-group type   No. 216
E   -6.925 eV/atom